Record 1
Compound: Ac2Fe3
Source: the Open Quantum Materials Database
Functional: PBE
Structure: relaxed

For the formation energy, the calculation gives 665 meV per atom.

It has space group R-3c (No. 167, hexagonal axes), with a = 7.0386 Å, b = 7.0386 Å, c = 18.5298 Å, α = 90.00°, β = 90.00° and γ = 120.00°. The distinct sites, in fractional coordinates, are Ac at (0.0000, 0.0000, 0.1004) and Fe at (0.0000, 0.1840, 0.2500).

=====

Record 2
Compound: PrGdSO2
Source: the Open Quantum Materials Database
Functional: PBE
Structure: relaxed

It has space group P3m1 (No. 156), with a = 3.9206 Å, b = 3.9206 Å, c = 6.7483 Å, α = 90.00°, β = 90.00° and γ = 120.00°. The distinct sites, in fractional coordinates, are Pr at (0.0000, 0.0000, 0.0000), Gd at (0.6667, 0.3333, 0.4395), S at (0.3333, 0.6667, 0.7152), O at (0.0000, 0.0000, 0.3588) and O at (0.6667, 0.3333, 0.1000).

=====

Record 3
Compound: TbGdAg2Sn2
Source: the Open Quantum Materials Database
Functional: PBE
Structure: relaxed

It has space group P3m1 (No. 156), with a = 4.7413 Å, b = 4.7413 Å, c = 7.3747 Å, α = 90.00°, β = 90.00° and γ = 120.00°. The distinct sites, in fractional coordinates, are Tb at (0.0000, 0.0000, 0.0000), Gd at (0.0000, 0.0000, 0.4998), Ag at (0.3333, 0.6667, 0.6911), Ag at (0.6667, 0.3333, 0.1901), Sn at (0.3333, 0.6667, 0.2787) and Sn at (0.6667, 0.3333, 0.7796).

=====

Record 4
Compound: GaMoAs
Source: the Open Quantum Materials Database
Functional: PBE
Structure: relaxed

Its energy above the most stable polymorph in this dataset is 0 meV/atom.

It has space group Pnma (No. 62), with a = 6.6928 Å, b = 3.3238 Å, c = 8.3492 Å, α = 90.00°, β = 90.00° and γ = 90.00°. The distinct sites, in fractional coordinates, are Ga at (0.1195, 0.2500, 0.0801), Mo at (0.1246, 0.2500, 0.7422) and As at (0.1368, 0.2500, 0.4026).

=====

Record 5
Compound: FeAgBMo
Source: the Open Quantum Materials Database
Functional: PBE
Structure: relaxed

Its energy above the most stable polymorph in this dataset is 0 meV/atom.

It has space group F-43m (No. 216), with a = 5.9283 Å, b = 5.9283 Å, c = 5.9283 Å, α = 90.00°, β = 90.00° and γ = 90.00°. The distinct sites, in fractional coordinates, are Fe at (0.0000, 0.0000, 0.0000), Ag at (0.2500, 0.2500, 0.2500), B at (0.2500, 0.2500, 0.7500) and Mo at (0.0000, 0.0000, 0.5000).

=====

Record 6
Compound: NdErCu2As4
Source: the Open Quantum Materials Database
Functional: PBE
Structure: relaxed

It has space group P4mm (No. 99), with a = 3.9413 Å, b = 3.9413 Å, c = 9.9837 Å, α = 90.00°, β = 90.00° and γ = 90.00°. The distinct sites, in fractional coordinates, are Nd at (0.0000, 0.0000, 0.0000), Er at (0.5000, 0.5000, 0.5250), Cu at (0.0000, 0.5000, 0.2702), As at (0.0000, 0.0000, 0.4276), As at (0.0000, 0.5000, 0.7554) and As at (0.5000, 0.5000, 0.1143).

=====

Record 7
Compound: ZrFeSb
Source: the Open Quantum Materials Database
Functional: PBE
Structure: relaxed

It has space group F-43m (No. 216), with a = 6.1524 Å, b = 6.1524 Å, c = 6.1524 Å, α = 90.00°, β = 90.00° and γ = 90.00°. The distinct sites, in fractional coordinates, are Zr at (0.0000, 0.0000, 0.0000), Fe at (0.2500, 0.2500, 0.7500) and Sb at (0.0000, 0.0000, 0.5000).

=====

Record 8
Compound: DyLuB
Source: the Open Quantum Materials Database
Functional: PBE
Structure: relaxed

Its energy above the most stable polymorph in this dataset is 0 meV/atom.

It has space group F-43m (No. 216), with a = 6.3292 Å, b = 6.3292 Å, c = 6.3292 Å, α = 90.00°, β = 90.00° and γ = 90.00°. The distinct sites, in fractional coordinates, are Dy at (0.0000, 0.0000, 0.0000), Lu at (0.0000, 0.0000, 0.5000) and B at (0.2500, 0.2500, 0.2500).

=====

Number 1: VASP energy -178.87 eV/cell. Number 2: VASP energy -38.98 eV/cell. Number 3: VASP energy -26.61 eV/cell. Number 4: VASP energy -76.12 eV/cell. Number 5: VASP energy -100.91 eV/cell. Number 6: VASP energy -41.91 eV/cell. Number 7: VASP energy -89.25 eV/cell. Number 8: VASP energy -62.75 eV/cell.